This record from Alexandria via LeMat-Bulk describes Cr2BiRuF after structural relaxation. The functional is PBE+U.

```
Cr2BiRuF
1.0
-3.5365 3.3465 -0.9267
-2.8265 -1.9507 3.7422
2.1097 3.1213 3.2205
Cr F Ru Bi
2 1 1 1
direct
0.5000 0.0000 0.0000
0.0000 0.0000 0.5000
0.5000 0.5000 0.5000
0.0000 0.0000 0.0000
0.0000 0.5000 0.0000
```

SG	P4/mmm, No. 123
total magnetic moment	1.644	μB/atom
calculated density	5.76	g/cm³
DFT total energy	-5.57	eV/atom